{
  "formula": "Ba2SrTl7Pb2",
  "functional": "PBE",
  "state": "optimized geometry",
  "ef_kj_per_mol_fu": -317,
  "m_tot_mub_per_fu": 0.00,
  "energy_ev_per_atom": -2.73,
  "spacegroup": "No. 12",
  "lattice_angstrom": [[3.554, -3.494, 0.000], [3.554, 3.494, 0.000], [-1.803, 0.000, 16.737]],
  "species": ["Ba", "Ba", "Sr", "Tl", "Tl", "Tl", "Tl", "Tl", "Tl", "Tl", "Pb", "Pb"],
  "fractional_positions": [[0.092, 0.092, 0.334], [0.908, 0.908, 0.666], [0.000, 0.000, 0.000], [0.037, 0.540, 0.153], [0.302, 0.302, 0.534], [0.460, 0.963, 0.847], [0.500, 0.500, 0.000], [0.540, 0.037, 0.153], [0.698, 0.698, 0.466], [0.963, 0.460, 0.847], [0.426, 0.426, 0.721], [0.574, 0.574, 0.279]]
}